(1)
ErHf | GGA-PBE | relaxed

```
ErHf
1.0
-0.823 -1.972 2.584
2.805 -0.597 -1.737
2.694 3.154 3.266
Hf Er
1 1
direct
0.333 0.667 0.250
0.667 0.333 0.750
```

Theoretical density in Mg/m³: 11.17
Calculated formation energy in eV/atom: 0.132
Energy above the most stable polymorph in this dataset in meV per atom: 0



(2)
LaTmIn | GGA-PBE | relaxed

```
LaTmIn
1.0
0.000 3.736 3.736
3.736 0.000 3.736
3.736 3.736 0.000
La In Tm
1 1 1
direct
0.250 0.250 0.250
0.000 0.000 0.000
0.750 0.750 0.750
```

Theoretical density in Mg/m³: 6.73
Energy above the most stable polymorph in this dataset in meV per atom: 0



(3)
LiHoFeTe3 | GGA-PBE | relaxed

```
LiHoFeTe3
1.0
-5.001 12.838 2.385
-3.685 -1.588 0.822
2.896 -0.945 11.161
Fe Ho Li Te
4 4 4 12
direct
0.006 0.750 0.427
0.494 0.250 0.927
0.994 0.250 0.573
0.506 0.750 0.073
0.997 0.750 0.838
0.503 0.250 0.338
0.497 0.750 0.662
0.003 0.250 0.162
0.716 0.250 0.071
0.784 0.750 0.571
0.284 0.750 0.929
0.216 0.250 0.429
0.138 0.750 0.265
0.884 0.250 0.389
0.116 0.750 0.611
0.384 0.250 0.111
0.129 0.250 0.946
0.871 0.750 0.054
0.616 0.750 0.889
0.638 0.750 0.235
0.371 0.750 0.446
0.862 0.250 0.735
0.362 0.250 0.765
0.629 0.250 0.554
```

Theoretical density in Mg/m³: 6.12
Energy above the most stable polymorph in this dataset in meV per atom: 0



(4)
Sr2YPtN6 | GGA-PBE | relaxed

```
Sr2YPtN6
1.0
5.910 0.000 0.000
2.912 5.147 0.000
2.846 1.714 4.968
N Sr Y Pt
6 2 1 1
direct
0.840 0.726 0.694
0.267 0.214 0.816
0.160 0.274 0.306
0.279 0.691 0.797
0.733 0.786 0.184
0.721 0.309 0.203
0.750 0.248 0.761
0.250 0.752 0.239
0.500 0.000 0.500
0.000 0.500 0.000
```

Theoretical density in Mg/m³: 5.97
Total DFT energy (no corrections) in eV/f.u.: -62.8



(5)
NiH8Br6N2 | GGA-PBE | relaxed

```
NiH8Br6N2
1.0
0.000 5.084 5.084
5.084 0.000 5.084
5.084 5.084 0.000
H Br Ni N
8 6 1 2
direct
0.691 0.691 0.691
0.309 0.309 0.309
0.691 0.691 0.926
0.691 0.926 0.691
0.309 0.309 0.074
0.926 0.691 0.691
0.309 0.074 0.309
0.074 0.309 0.309
0.238 0.238 0.762
0.238 0.762 0.762
0.238 0.762 0.238
0.762 0.238 0.762
0.762 0.238 0.238
0.762 0.762 0.238
0.000 0.000 0.000
0.250 0.250 0.250
0.750 0.750 0.750
```

Theoretical density in Mg/m³: 3.63
Total DFT energy (no corrections) in eV/f.u.: -66.6



(6)
Bi3Mo | GGA-PBE | relaxed

```
Bi3Mo
1.0
-0.765 1.145 8.946
3.274 -2.678 0.623
7.631 9.208 -0.526
Mo Bi
4 12
direct
0.921 0.750 0.486
0.579 0.250 0.986
0.079 0.250 0.514
0.421 0.750 0.014
0.124 0.750 0.102
0.376 0.250 0.602
0.400 0.250 0.187
0.100 0.750 0.687
0.876 0.250 0.898
0.900 0.250 0.313
0.624 0.750 0.398
0.217 0.750 0.383
0.717 0.750 0.117
0.783 0.250 0.617
0.283 0.250 0.883
0.600 0.750 0.813
```

Theoretical density in Mg/m³: 10.37
Total DFT energy (no corrections) in eV/f.u.: -22.2



(7)
PrY2Zn3AgHg2 | GGA-PBE | relaxed

```
PrY2Zn3AgHg2
1.0
4.107 0.000 0.000
0.000 6.613 3.787
0.000 -6.613 3.787
Hg Pr Y Zn Ag
2 1 2 3 1
direct
0.500 0.330 0.673
0.500 0.673 0.330
0.000 0.406 0.406
0.000 0.597 0.001
0.000 0.001 0.597
0.500 0.243 0.997
0.500 0.997 0.243
0.500 0.758 0.758
0.000 0.995 0.995
```

Theoretical density in Mg/m³: 8.27
Calculated formation energy in eV/atom: -0.358



(8)
Cu7Ag3 | GGA-PBE | relaxed

```
Cu7Ag3
1.0
8.786 -1.400 0.000
8.786 1.400 0.000
-0.905 0.000 5.551
Cu Ag
7 3
direct
0.394 0.394 0.695
0.810 0.810 0.384
0.402 0.402 0.203
0.810 0.810 0.925
0.985 0.985 0.983
0.211 0.211 0.106
0.987 0.987 0.503
0.595 0.595 0.803
0.213 0.213 0.605
0.593 0.593 0.293
```

Theoretical density in Mg/m³: 9.34
Calculated formation energy in eV/atom: 0.067
Energy above the most stable polymorph in this dataset in meV per atom: 22



(9)
Pr2PtAu | GGA-PBE | relaxed

```
Pr2PtAu
1.0
4.722 0.000 0.000
0.000 1.974 5.528
0.000 -1.974 5.528
Pr Pt Au
2 1 1
direct
0.500 0.862 0.862
0.000 0.136 0.136
0.500 0.586 0.586
0.000 0.416 0.416
```

Theoretical density in Mg/m³: 10.86
Calculated formation energy in eV/atom: -0.949



(10)
HoThZn | GGA-PBE | relaxed

```
HoThZn
1.0
0.000 3.523 3.523
3.523 0.000 3.523
3.523 3.523 0.000
Th Zn Ho
1 1 1
direct
0.750 0.750 0.750
0.000 0.000 0.000
0.250 0.250 0.250
```

Theoretical density in Mg/m³: 8.78
Calculated formation energy in eV/atom: 0.127
Energy above the most stable polymorph in this dataset in meV per atom: 0



(11)
CsGdNiTe3 | GGA-PBE | relaxed

```
CsGdNiTe3
1.0
-3.567 0.603 8.172
0.595 -0.090 8.916
1.883 11.295 -0.012
Cs Te Gd Ni
2 6 2 2
direct
0.742 0.742 0.250
0.258 0.258 0.750
0.381 0.381 0.070
0.381 0.381 0.430
0.619 0.619 0.570
0.943 0.943 0.750
0.619 0.619 0.930
0.057 0.057 0.250
0.000 0.000 0.500
0.000 0.000 0.000
0.471 0.471 0.250
0.529 0.529 0.750
```

Theoretical density in Mg/m³: 5.71
Energy above the most stable polymorph in this dataset in meV per atom: 24



(12)
NaSrTbSe3 | GGA-PBE | relaxed

```
NaSrTbSe3
1.0
-0.931 2.796 6.667
-3.278 -3.010 -5.774
1.421 -9.857 4.332
Tb Sr Se Na
2 2 6 2
direct
0.000 0.000 0.000
0.000 0.000 0.500
0.249 0.751 0.250
0.751 0.249 0.750
0.909 0.091 0.250
0.362 0.638 0.553
0.638 0.362 0.053
0.091 0.909 0.750
0.638 0.362 0.447
0.362 0.638 0.947
0.521 0.479 0.250
0.479 0.521 0.750
```

Theoretical density in Mg/m³: 5.16
Energy above the most stable polymorph in this dataset in meV per atom: 133



(13)
TaZnW2 | GGA-PBE | relaxed

```
TaZnW2
1.0
0.000 3.188 3.188
3.188 0.000 3.188
3.188 3.188 0.000
W Zn Ta
2 1 1
direct
0.000 0.000 0.000
0.750 0.750 0.750
0.500 0.500 0.500
0.250 0.250 0.250
```

Theoretical density in Mg/m³: 15.74
Calculated formation energy in eV/atom: 0.258



(14)
TmAlAs | GGA-PBE | relaxed

```
TmAlAs
1.0
3.715 -2.585 -1.252
-0.629 -4.234 -1.930
0.966 -0.676 -4.546
Tm As Al
1 1 1
direct
0.750 0.750 0.750
0.250 0.250 0.250
0.000 0.000 0.000
```

Theoretical density in Mg/m³: 6.14
Total DFT energy (no corrections) in eV/f.u.: -13.1



(15)
Ho2Fe5Co12 | GGA-PBE | relaxed

```
Ho2Fe5Co12
1.0
-4.180 -1.954 6.906
-0.684 -4.777 -6.760
6.252 -4.462 2.521
Ho Fe Co
4 10 24
direct
0.000 0.000 0.250
0.333 0.667 0.750
0.000 0.000 0.750
0.667 0.333 0.250
0.500 0.000 0.500
0.000 0.500 0.500
0.500 0.000 0.000
0.500 0.500 0.000
0.667 0.333 0.607
0.333 0.667 0.107
0.500 0.500 0.500
0.667 0.333 0.893
0.333 0.667 0.393
0.000 0.500 0.000
0.836 0.164 0.018
0.164 0.836 0.518
0.836 0.672 0.482
0.327 0.955 0.250
0.672 0.836 0.518
0.327 0.372 0.250
0.628 0.673 0.250
0.672 0.836 0.982
0.673 0.628 0.750
0.164 0.328 0.518
0.836 0.164 0.482
0.673 0.045 0.750
0.628 0.955 0.250
0.164 0.836 0.982
0.372 0.327 0.750
0.955 0.628 0.750
0.955 0.327 0.750
0.328 0.164 0.018
0.045 0.673 0.250
0.045 0.372 0.250
0.836 0.672 0.018
0.372 0.045 0.750
0.164 0.328 0.982
0.328 0.164 0.482
```

Theoretical density in Mg/m³: 9.05
Calculated formation energy in eV/atom: 0.029



(16)
Nd6Al43Mo4 | GGA-PBE | relaxed

```
Nd6Al43Mo4
1.0
11.086 0.000 0.000
-5.543 9.600 0.000
0.000 0.000 17.963
Al Nd Mo
86 12 8
direct
0.667 0.333 0.373
0.247 0.753 0.000
0.842 0.607 0.165
0.852 0.449 0.750
0.393 0.158 0.665
0.597 0.148 0.750
0.235 0.842 0.665
0.403 0.551 0.750
0.247 0.494 0.000
0.607 0.765 0.665
0.841 0.000 0.885
0.158 0.393 0.835
0.748 0.748 0.969
0.000 0.841 0.615
0.147 0.000 0.750
0.841 0.841 0.385
0.393 0.235 0.335
0.252 0.252 0.031
0.333 0.667 0.873
0.333 0.667 0.373
0.148 0.597 0.750
0.748 0.000 0.031
0.551 0.148 0.250
0.841 0.000 0.615
0.753 0.506 0.500
0.842 0.235 0.665
0.000 0.159 0.385
0.506 0.753 0.000
0.000 0.252 0.531
0.158 0.765 0.335
0.494 0.247 0.000
0.597 0.449 0.250
0.853 0.000 0.250
0.607 0.765 0.835
0.765 0.158 0.165
0.159 0.000 0.115
0.607 0.842 0.165
0.235 0.393 0.165
0.494 0.247 0.500
0.333 0.667 0.127
0.449 0.597 0.250
0.667 0.333 0.127
0.000 0.748 0.469
0.158 0.393 0.665
0.235 0.842 0.835
0.159 0.159 0.885
0.765 0.158 0.335
0.667 0.333 0.873
0.853 0.853 0.750
0.753 0.247 0.500
0.000 0.147 0.750
0.000 0.841 0.885
0.748 0.748 0.531
0.159 0.159 0.615
0.252 0.252 0.469
0.148 0.551 0.250
0.000 0.748 0.031
0.159 0.000 0.385
0.842 0.607 0.335
0.841 0.841 0.115
0.753 0.247 0.000
0.753 0.506 0.000
0.551 0.403 0.750
0.765 0.607 0.835
0.765 0.607 0.665
0.842 0.235 0.835
0.147 0.147 0.250
0.000 0.159 0.115
0.403 0.852 0.250
0.607 0.842 0.335
0.393 0.235 0.165
0.852 0.403 0.250
0.251 0.000 0.531
0.667 0.333 0.627
0.235 0.393 0.335
0.506 0.753 0.500
0.333 0.667 0.627
0.000 0.252 0.969
0.449 0.852 0.750
0.247 0.753 0.500
0.158 0.765 0.165
0.393 0.158 0.835
0.748 0.000 0.469
0.000 0.853 0.250
0.251 0.000 0.969
0.247 0.494 0.500
0.530 0.000 0.905
0.530 0.530 0.405
0.470 0.470 0.595
0.470 0.470 0.905
0.000 0.470 0.405
0.530 0.000 0.595
0.000 0.470 0.095
0.470 0.000 0.405
0.530 0.530 0.095
0.000 0.530 0.595
0.000 0.530 0.905
0.470 0.000 0.095
0.000 0.268 0.250
0.000 0.000 0.000
0.268 0.268 0.750
0.000 0.000 0.500
0.732 0.000 0.750
0.268 0.000 0.250
0.000 0.732 0.750
0.732 0.732 0.250
```

Theoretical density in Mg/m³: 4.19
Total DFT energy (no corrections) in eV/f.u.: -249.4